Entry 1:
Below is a relaxed Nd4Sm6Dy crystal, with properties calculated at the PBE level.

total DFT energy (no corrections)	-4.3628	eV per atom
formation enthalpy at 0 K	4.00	eV/f.u.
space-group type	No. 121
energy relative to the lowest polymorph listed for this composition	0.0000	eV per atom

Lattice parameters (Å, degrees): 8.5831 8.5831 8.5831 126.67 126.67 78.80
With the nearest neighbours (Å) after each atom.
Fractional coordinates of all 11 atoms:
Nd: 0.0786 0.0786 0.5347  1 Sm 3.17
Nd: 0.4560 0.9214 0.0000  1 Sm 3.17
Nd: 0.5440 0.5440 0.4653  1 Sm 3.17
Nd: 0.9214 0.4560 0.0000  1 Sm 3.17
Sm: 0.0000 0.5000 0.5000  4 Sm 3.04
Sm: 0.0930 0.7518 0.0000  4 Sm 3.04-3.34, 1 Nd 3.17
Sm: 0.2482 0.2482 0.3412  4 Sm 3.04-3.34, 1 Nd 3.17
Sm: 0.5000 0.0000 0.5000  4 Sm 3.04
Sm: 0.7518 0.0930 0.0000  4 Sm 3.04-3.34, 1 Nd 3.17
Sm: 0.9070 0.9070 0.6588  4 Sm 3.04-3.34, 1 Nd 3.17
Dy: 0.5000 0.5000 0.0000  4 Nd 3.56, 8 Sm 3.73-3.85

Entry 2:
Below is a relaxed SmY2Er crystal, with properties calculated at the PBE level.

total DFT energy (no corrections)	-5.5364	eV per atom
formation enthalpy at 0 K	0.06	eV/f.u.
space-group type	No. 160
energy relative to the lowest polymorph listed for this composition	0.0081	eV per atom

Lattice parameters (Å, degrees): 11.7134 11.7134 11.7134 17.66 17.66 17.66
With the nearest neighbours (Å) after each atom.
Fractional coordinates of all 4 atoms:
Sm: 0.0000 0.0000 0.0000  6 Y 3.56-3.60, 6 Sm 3.60
Y: 0.5817 0.5817 0.5817  3 Er 3.53, 6 Y 3.60, 3 Sm 3.60
Y: 0.7505 0.7505 0.7505  3 Er 3.52, 3 Sm 3.56, 6 Y 3.60
Er: 0.1659 0.1659 0.1659  6 Y 3.52-3.53, 6 Er 3.60

Entry 3:
Below is a relaxed HgIr2Au crystal, with properties calculated at the PBE level.

total DFT energy (no corrections)	-4.8415	eV per atom
formation enthalpy at 0 K	1.94	eV/f.u.
space-group type	No. 44

Lattice parameters (Å, degrees): 5.8314 5.8314 5.8314 151.98 130.80 57.58
With the nearest neighbours (Å) after each atom.
Fractional coordinates of all 4 atoms:
Hg: 0.0000 0.0000 0.0000  2 Hg 2.82, 6 Ir 2.83-2.96
Ir: 0.2541 0.7541 0.5000  4 Ir 2.56-2.82, 4 Au 2.83
Ir: 0.4635 0.4635 0.0000  4 Ir 2.56-2.82, 4 Hg 2.83
Au: 0.7182 0.2182 0.5000  2 Au 2.82, 6 Ir 2.83-2.96

Entry 4:
Below is a relaxed Ho2TiGa3Ir4 crystal, with properties calculated at the PBE level.

total DFT energy (no corrections)	-6.9001	eV per atom
formation enthalpy at 0 K	-7.43	eV/f.u.
space-group type	No. 115

Lattice parameters (Å, degrees): 4.1188 4.1188 10.8165 90.00 90.00 90.00
With the nearest neighbours (Å) after each atom.
Fractional coordinates of all 10 atoms:
Ho: 0.0000 0.5000 0.2305  4 Ga 3.11, 8 Ir 3.23
Ho: 0.5000 0.0000 0.7695  4 Ga 3.11, 8 Ir 3.23
Ti: 0.0000 0.0000 0.5000  4 Ir 2.56
Ga: 0.0000 0.5000 0.8708  5 Ir 2.48-2.49
Ga: 0.5000 0.0000 0.1292  5 Ir 2.48-2.49
Ga: 0.5000 0.5000 0.5000  4 Ir 2.56
Ir: 0.0000 0.0000 0.0000  4 Ga 2.49
Ir: 0.0000 0.5000 0.6414  3 Ga 2.48-2.56, 2 Ti 2.56
Ir: 0.5000 0.0000 0.3586  3 Ga 2.48-2.56, 2 Ti 2.56
Ir: 0.5000 0.5000 0.0000  4 Ga 2.49

Entry 5:
Below is a relaxed Ac3Cu2O7 crystal, with properties calculated at the PBE level.

total DFT energy (no corrections)	-6.9247	eV per atom
space-group type	No. 139
ΔE_f (raw)	-2323	meV/atom
energy relative to the lowest polymorph listed for this composition	0.0000	eV per atom

Lattice parameters (Å, degrees): 10.9932 10.9932 10.9932 159.38 159.38 29.33
With the nearest neighbours (Å) after each atom.
Fractional coordinates of all 12 atoms:
Ac: 0.0000 0.0000 0.0000  12 O 2.78-2.83
Ac: 0.1782 0.1782 0.0000  5 O 2.51-2.64
Ac: 0.8218 0.8218 0.0000  5 O 2.51-2.64
Cu: 0.4045 0.4045 0.0000  5 O 1.97-2.03
Cu: 0.5955 0.5955 0.0000  5 O 1.97-2.03
O: 0.0955 0.5955 0.5000  2 Cu 1.97
O: 0.2961 0.2961 0.0000  1 Cu 2.31, 1 Ac 2.51
O: 0.4045 0.9045 0.5000  2 Cu 1.97
O: 0.5000 0.5000 0.0000  2 Cu 2.03
O: 0.5955 0.0955 0.5000  2 Cu 1.97
O: 0.7039 0.7039 0.0000  1 Cu 2.31, 1 Ac 2.51
O: 0.9045 0.4045 0.5000  2 Cu 1.97

Entry 6:
Below is a relaxed SrPr2Hg3 crystal, with properties calculated at the PBE level.

total DFT energy (no corrections)	-2.5211	eV per atom
formation enthalpy at 0 K	-2.98	eV/f.u.
space-group type	No. 123

Lattice parameters (Å, degrees): 3.8821 3.8821 11.9050 90.00 90.00 90.00
With the nearest neighbours (Å) after each atom.
Fractional coordinates of all 6 atoms:
Sr: 0.0000 0.0000 0.0000  8 Hg 3.48, 4 Sr 3.88
Pr: 0.0000 0.0000 0.3380  8 Hg 3.33-3.36
Pr: 0.0000 0.0000 0.6620  8 Hg 3.33-3.36
Hg: 0.5000 0.5000 0.1802  4 Pr 3.33, 4 Sr 3.48
Hg: 0.5000 0.5000 0.5000  8 Pr 3.36
Hg: 0.5000 0.5000 0.8198  4 Pr 3.33, 4 Sr 3.48

Entry 7:
Below is a relaxed HfZrInHg crystal, with properties calculated at the PBE level.

total DFT energy (no corrections)	-5.5623	eV per atom
formation enthalpy at 0 K	-0.71	eV/f.u.
space-group type	No. 99

Lattice parameters (Å, degrees): 3.1570 3.1570 8.6431 90.00 90.00 90.00
With the nearest neighbours (Å) after each atom.
Fractional coordinates of all 4 atoms:
Hf: 0.0000 0.0000 0.0000  4 Hg 3.07, 4 In 3.12, 4 Hf 3.16
Zr: 0.0000 0.0000 0.5070  4 Hg 3.10, 4 In 3.14, 4 Zr 3.16
In: 0.5000 0.5000 0.2520  4 Hf 3.12, 4 Zr 3.14, 4 In 3.16
Hg: 0.5000 0.5000 0.7565  4 Hf 3.07, 4 Zr 3.10, 4 Hg 3.16

Entry 8:
Below is a relaxed CsBTe2 crystal, with properties calculated at the PBE level.

total DFT energy (no corrections)	-3.0553	eV per atom
space-group type	No. 166
ΔE_f (raw)	398	meV/atom

Lattice parameters (Å, degrees): 9.3683 9.3683 9.3683 23.26 23.26 23.26
With the nearest neighbours (Å) after each atom.
Fractional coordinates of all 4 atoms:
Cs: 0.0000 0.0000 0.0000  6 Cs 3.78, 6 Te 3.82
B: 0.5000 0.5000 0.5000  6 Te 2.60
Te: 0.2185 0.2185 0.2185  3 B 2.60
Te: 0.7815 0.7815 0.7815  3 B 2.60

Entry 9:
Below is a relaxed CoReAu4 crystal, with properties calculated at the PBE level.

total DFT energy (no corrections)	-4.4862	eV per atom
formation enthalpy at 0 K	5.75	eV/f.u.
space-group type	No. 216

Lattice parameters (Å, degrees): 5.3629 5.3629 5.3629 60.00 60.00 60.00
With the nearest neighbours (Å) after each atom.
Fractional coordinates of all 6 atoms:
Co: 0.0000 0.0000 0.0000  12 Au 3.14, 4 Re 3.28
Re: 0.7500 0.7500 0.7500  12 Au 3.14, 4 Co 3.28
Au: 0.3749 0.3749 0.3749  6 Au 2.68
Au: 0.3749 0.3749 0.8753  6 Au 2.68
Au: 0.3749 0.8753 0.3749  6 Au 2.68
Au: 0.8753 0.3749 0.3749  6 Au 2.68

Entry 10:
Below is a relaxed BaHg14Pb crystal, with properties calculated at the PBE level.

total DFT energy (no corrections)	-0.6962	eV per atom
formation enthalpy at 0 K	-1.28	eV/f.u.
space-group type	No. 12

Lattice parameters (Å, degrees): 9.5045 9.5045 10.8227 97.29 97.29 87.96
With the nearest neighbours (Å) after each atom.
Fractional coordinates of all 32 atoms:
Ba: 0.1711 0.1711 0.2623  10 Hg 3.50-3.59, 1 Pb 3.77
Ba: 0.8289 0.8289 0.7377  10 Hg 3.50-3.59, 1 Pb 3.77
Hg: 0.0541 0.3478 0.5444  7 Hg 3.14-3.47, 1 Pb 3.33
Hg: 0.0906 0.3210 0.8468  8 Hg 3.04-3.40
Hg: 0.1080 0.6776 0.9234  7 Hg 3.10-3.39
Hg: 0.1806 0.8106 0.3113  5 Hg 3.05-3.38, 1 Pb 3.18
Hg: 0.1894 0.8194 0.6887  5 Hg 3.05-3.38, 1 Pb 3.18
Hg: 0.2117 0.4819 0.1261  5 Hg 3.10-3.40, 1 Pb 3.23
Hg: 0.2721 0.5144 0.4194  8 Hg 3.13-3.38
Hg: 0.2938 0.5174 0.7223  6 Hg 2.95-3.26
Hg: 0.3210 0.0906 0.8468  8 Hg 3.04-3.40
Hg: 0.3224 0.8920 0.0766  7 Hg 3.10-3.39
Hg: 0.3478 0.0541 0.5444  7 Hg 3.14-3.47, 1 Pb 3.33
Hg: 0.4819 0.2117 0.1261  5 Hg 3.10-3.40, 1 Pb 3.23
Hg: 0.4826 0.7062 0.2777  6 Hg 2.95-3.26
Hg: 0.4856 0.7279 0.5806  8 Hg 3.13-3.38
Hg: 0.5144 0.2721 0.4194  8 Hg 3.13-3.38
Hg: 0.5174 0.2938 0.7223  6 Hg 2.95-3.26
Hg: 0.5181 0.7883 0.8739  5 Hg 3.10-3.40, 1 Pb 3.23
Hg: 0.6522 0.9459 0.4556  7 Hg 3.14-3.47, 1 Pb 3.33
Hg: 0.6776 0.1080 0.9234  7 Hg 3.10-3.39
Hg: 0.6790 0.9094 0.1532  8 Hg 3.04-3.40
Hg: 0.7062 0.4826 0.2777  6 Hg 2.95-3.26
Hg: 0.7279 0.4856 0.5806  8 Hg 3.13-3.38
Hg: 0.7883 0.5181 0.8739  5 Hg 3.10-3.40, 1 Pb 3.23
Hg: 0.8106 0.1806 0.3113  5 Hg 3.05-3.38, 1 Pb 3.18
Hg: 0.8194 0.1894 0.6887  5 Hg 3.05-3.38, 1 Pb 3.18
Hg: 0.8920 0.3224 0.0766  7 Hg 3.10-3.39
Hg: 0.9094 0.6790 0.1532  8 Hg 3.04-3.40
Hg: 0.9459 0.6522 0.4556  7 Hg 3.14-3.47, 1 Pb 3.33
Pb: 0.0000 0.0000 0.5000  8 Hg 3.18-3.33
Pb: 0.5000 0.5000 0.0000  8 Hg 3.23-3.39

Entry 11:
Below is a relaxed PmNdTh4 crystal, with properties calculated at the PBE level.

total DFT energy (no corrections)	-6.2721	eV per atom
formation enthalpy at 0 K	1.57	eV/f.u.
space-group type	No. 216
energy relative to the lowest polymorph listed for this composition	0.2054	eV per atom

Lattice parameters (Å, degrees): 6.6727 6.6727 6.6727 60.00 60.00 60.00
With the nearest neighbours (Å) after each atom.
Fractional coordinates of all 6 atoms:
Pm: 0.0000 0.0000 0.0000  12 Th 3.91, 4 Nd 4.09
Nd: 0.7500 0.7500 0.7500  12 Th 3.91, 4 Pm 4.09
Th: 0.3749 0.3749 0.3749  6 Th 3.33-3.34
Th: 0.3749 0.3749 0.8752  6 Th 3.33-3.34
Th: 0.3749 0.8752 0.3749  6 Th 3.33-3.34
Th: 0.8752 0.3749 0.3749  6 Th 3.33-3.34

Entry 12:
Below is a relaxed CePm3Hg2 crystal, with properties calculated at the PBE level.

total DFT energy (no corrections)	-3.7527	eV per atom
formation enthalpy at 0 K	-1.73	eV/f.u.
space-group type	No. 123
energy relative to the lowest polymorph listed for this composition	0.0000	eV per atom

Lattice parameters (Å, degrees): 3.7007 3.7007 12.5987 90.00 90.00 90.00
With the nearest neighbours (Å) after each atom.
Fractional coordinates of all 6 atoms:
Ce: 0.0000 0.0000 0.0000  8 Pm 3.49, 4 Ce 3.70
Pm: 0.5000 0.5000 0.1838  4 Hg 3.27, 4 Ce 3.49
Pm: 0.5000 0.5000 0.5000  8 Hg 3.31, 4 Pm 3.70
Pm: 0.5000 0.5000 0.8162  4 Hg 3.27, 4 Ce 3.49
Hg: 0.0000 0.0000 0.3394  8 Pm 3.27-3.31
Hg: 0.0000 0.0000 0.6606  8 Pm 3.27-3.31